TlC2: optimized geometry, PBE.

Summary:
- M_tot: 0.00 μB/f.u.
- SG: Cm (8)
- Energy of formation from the pure elements: 1.691 eV/atom
- Energy relative to the lowest polymorph listed for this composition: 789 meV per atom

Structure (POSCAR):
```
TlC2
1.0
4.157 -1.955 0.000
4.157 1.955 0.000
-0.300 0.000 7.456
Tl C
2 4
Direct
0.000 0.000 0.000
0.681 0.681 0.651
0.042 0.042 0.476
0.610 0.610 0.922
0.874 0.874 0.458
0.961 0.961 0.304
```

---

BaMgScTi2: optimized geometry, PBE.

Summary:
- M_tot: 0.00 μB/f.u.
- SG: P4/mmm (123)
- Density of states at the Fermi level: 7.55 states/eV/cell
- Energy of formation from the pure elements: 1.503 eV/atom

Structure (POSCAR):
```
BaMgScTi2
1.0
5.030 0.000 0.000
0.000 5.030 0.000
0.000 0.000 5.513
Ba Mg Sc Ti
1 1 1 2
Direct
0.000 0.000 0.000
0.000 0.000 0.500
0.500 0.500 0.500
0.000 0.500 0.000
0.500 0.000 0.000
```

---

TcGeO4: optimized geometry, PBE.

Summary:
- M_tot: 0.99 μB/f.u.
- SG: P-42c (112)
- Formation energy (no corrections): -1.046 eV per atom
- Density of states at the Fermi level: 3.59 states/eV/cell

Structure (POSCAR):
```
TcGeO4
1.0
4.613 0.000 0.000
0.000 4.613 0.000
0.000 0.000 9.060
Tc Ge O
2 2 8
Direct
0.000 0.000 0.000
0.000 0.000 0.500
0.000 0.500 0.250
0.500 0.000 0.750
0.200 0.262 0.374
0.200 0.738 0.126
0.262 0.200 0.874
0.262 0.800 0.626
0.738 0.200 0.626
0.738 0.800 0.874
0.800 0.262 0.126
0.800 0.738 0.374
```

---

HfTiGaCu: optimized geometry, PBE.

Summary:
- M_tot: 0.00 μB/f.u.
- SG: F-43m (216)
- Density of states at the Fermi level: 1.36 states/eV/cell
- Energy of formation from the pure elements: -0.267 eV/atom

Structure (POSCAR):
```
HfTiGaCu
1.0
0.000 3.206 3.206
3.206 0.000 3.206
3.206 3.206 0.000
Hf Ti Ga Cu
1 1 1 1
Direct
0.000 0.000 0.000
0.500 0.500 0.500
0.250 0.250 0.250
0.750 0.750 0.750
```

---

RbV2Te2: optimized geometry, PBE.

Summary:
- M_tot: 0.96 μB/f.u.
- SG: I4/mmm (139)
- Formation energy (no corrections): -0.097 eV per atom
- Density of states at the Fermi level: 1.42 states/eV/cell
- Energy relative to the lowest polymorph listed for this composition: 0 meV per atom

Structure (POSCAR):
```
RbV2Te2
1.0
-2.667 2.667 4.376
2.667 -2.667 4.376
2.667 2.667 -4.376
Rb V Te
1 2 2
Direct
0.000 0.000 0.000
0.391 0.391 0.000
0.609 0.609 0.000
0.250 0.750 0.500
0.750 0.250 0.500
```

---

Sr3Ni: optimized geometry, PBE.

Summary:
- M_tot: 0.00 μB/f.u.
- SG: P4mm (99)
- Density of states at the Fermi level: 3.62 states/eV/cell
- Energy of formation from the pure elements: 0.292 eV/atom

Structure (POSCAR):
```
Sr3Ni
1.0
5.054 0.000 0.000
0.000 5.054 0.000
0.000 0.000 6.584
Sr Ni
3 1
Direct
0.000 0.000 0.000
0.000 0.500 0.464
0.500 0.000 0.464
0.500 0.500 0.200
```

---

ScRh3Cl: optimized geometry, PBE.

Summary:
- M_tot: 2.10 μB/f.u.
- SG: Pm-3m (221)
- Formation energy (no corrections): 1.049 eV per atom
- Density of states at the Fermi level: 11.28 states/eV/cell
- Energy relative to the lowest polymorph listed for this composition: 863 meV per atom

Structure (POSCAR):
```
ScRh3Cl
1.0
4.765 0.000 0.000
0.000 4.765 0.000
0.000 0.000 4.765
Sc Rh Cl
1 3 1
Direct
0.000 0.000 0.000
0.000 0.000 0.500
0.000 0.500 0.000
0.500 0.000 0.000
0.500 0.500 0.500
```

---

TmThZnPt: optimized geometry, PBE.

Summary:
- M_tot: 0.00 μB/f.u.
- SG: F-43m (216)
- Density of states at the Fermi level: 3.52 states/eV/cell
- Energy of formation from the pure elements: -0.681 eV/atom

Structure (POSCAR):
```
TmThZnPt
1.0
0.000 3.578 3.578
3.578 0.000 3.578
3.578 3.578 0.000
Tm Th Zn Pt
1 1 1 1
Direct
0.000 0.000 0.000
0.500 0.500 0.500
0.750 0.750 0.750
0.250 0.250 0.250
```

---

PmGa2Bi: optimized geometry, PBE.

Summary:
- M_tot: 0.00 μB/f.u.
- SG: P4/mmm (123)
- Density of states at the Fermi level: 3.47 states/eV/cell
- Energy of formation from the pure elements: -0.269 eV/atom
- Energy relative to the lowest polymorph listed for this composition: 192 meV per atom

Structure (POSCAR):
```
PmGa2Bi
1.0
3.843 0.000 0.000
0.000 3.843 0.000
0.000 0.000 6.702
Pm Ga Bi
1 2 1
Direct
0.000 0.000 0.000
0.500 0.500 0.274
0.500 0.500 0.726
0.000 0.000 0.500
```

---

EuDyPt2: optimized geometry, PBE.

Summary:
- M_tot: 6.94 μB/f.u.
- SG: R-3m (166)
- Density of states at the Fermi level: 11.78 states/eV/cell
- Energy of formation from the pure elements: -0.972 eV/atom
- Energy relative to the lowest polymorph listed for this composition: 126 meV per atom

Structure (POSCAR):
```
EuDyPt2
1.0
2.066 1.193 6.790
-2.066 1.193 6.790
0.000 -2.386 6.790
Eu Dy Pt
1 1 2
Direct
0.000 0.000 0.000
0.500 0.500 0.500
0.244 0.244 0.244
0.756 0.756 0.756
```

---

SrMnNiGe2: optimized geometry, PBE.

Summary:
- M_tot: 3.06 μB/f.u.
- SG: I-4m2 (119)
- Density of states at the Fermi level: 2.92 states/eV/cell
- Energy of formation from the pure elements: -0.405 eV/atom

Structure (POSCAR):
```
SrMnNiGe2
1.0
-2.110 2.110 5.300
2.110 -2.110 5.300
2.110 2.110 -5.300
Sr Mn Ni Ge
1 1 1 2
Direct
0.000 0.000 0.000
0.750 0.250 0.500
0.250 0.750 0.500
0.366 0.366 0.000
0.634 0.634 0.000
```

---

Ag2TeI: optimized geometry, PBE.

Summary:
- M_tot: 0.00 μB/f.u.
- SG: C2 (5)
- Formation energy (no corrections): -0.099 eV per atom
- Density of states at the Fermi level: 0.42 states/eV/cell
- Energy relative to the lowest polymorph listed for this composition: 30 meV per atom

Structure (POSCAR):
```
Ag2TeI
1.0
6.381 -2.419 0.000
6.381 2.419 0.000
-0.782 0.000 8.116
Ag Te I
4 2 2
Direct
0.059 0.058 0.292
0.186 0.186 0.993
0.814 0.814 0.007
0.942 0.941 0.708
0.405 0.408 0.887
0.592 0.595 0.113
0.143 0.164 0.629
0.836 0.857 0.371
```

---

PIr3: optimized geometry, PBE.

Summary:
- M_tot: 0.00 μB/f.u.
- SG: Pm-3m (221)
- Density of states at the Fermi level: 1.52 states/eV/cell
- Energy of formation from the pure elements: 0.189 eV/atom
- Energy relative to the lowest polymorph listed for this composition: 215 meV per atom

Structure (POSCAR):
```
PIr3
1.0
3.838 0.000 0.000
0.000 3.838 0.000
0.000 0.000 3.838
P Ir
1 3
Direct
0.000 0.000 0.000
0.000 0.500 0.500
0.500 0.000 0.500
0.500 0.500 0.000
```

---

BaGa2AsPt: optimized geometry, PBE.

Summary:
- M_tot: 0.00 μB/f.u.
- SG: P4/mmm (123)
- Density of states at the Fermi level: 7.20 states/eV/cell
- Energy of formation from the pure elements: 1.460 eV/atom

Structure (POSCAR):
```
BaGa2AsPt
1.0
5.939 0.000 0.000
0.000 5.939 0.000
0.000 0.000 5.615
Ba Ga As Pt
1 2 1 1
Direct
0.000 0.000 0.000
0.000 0.500 0.000
0.500 0.000 0.000
0.000 0.000 0.500
0.500 0.500 0.500
```

---

DyEr3Zn: optimized geometry, PBE.

Summary:
- M_tot: 0.00 μB/f.u.
- SG: C2/m (12)
- Density of states at the Fermi level: 14.91 states/eV/cell
- Energy of formation from the pure elements: 0.059 eV/atom

Structure (POSCAR):
```
DyEr3Zn
1.0
5.681 -4.186 0.000
5.681 4.186 0.000
-4.340 0.000 6.287
Dy Er Zn
2 6 2
Direct
0.082 0.082 0.273
0.918 0.918 0.727
0.013 0.610 0.286
0.390 0.987 0.714
0.452 0.452 0.689
0.548 0.548 0.311
0.610 0.013 0.286
0.987 0.390 0.714
0.233 0.233 0.065
0.767 0.767 0.935
```

---

RbInO2: optimized geometry, PBE.

Summary:
- M_tot: 0.00 μB/f.u.
- SG: P-1 (2)
- Formation energy (no corrections): -1.454 eV per atom
- Density of states at the Fermi level: 0.00 states/eV/cell

Structure (POSCAR):
```
RbInO2
1.0
3.645 0.000 0.000
1.817 5.998 0.000
0.003 1.054 6.429
Rb In O
2 2 4
Direct
0.130 0.242 0.046
0.870 0.758 0.954
0.368 0.764 0.467
0.632 0.236 0.533
0.222 0.056 0.656
0.499 0.501 0.274
0.501 0.499 0.726
0.778 0.944 0.344
```

---

RbSb3Au: optimized geometry, PBE.

Summary:
- M_tot: 0.00 μB/f.u.
- SG: Pm-3m (221)
- Formation energy (no corrections): 1.680 eV per atom
- Density of states at the Fermi level: 9.63 states/eV/cell
- Energy relative to the lowest polymorph listed for this composition: 1863 meV per atom

Structure (POSCAR):
```
RbSb3Au
1.0
6.030 0.000 0.000
0.000 6.030 0.000
0.000 0.000 6.030
Rb Sb Au
1 3 1
Direct
0.000 0.000 0.000
0.000 0.000 0.500
0.000 0.500 0.000
0.500 0.000 0.000
0.500 0.500 0.500
```

---

Dy2YEr2Th: optimized geometry, PBE.

Summary:
- M_tot: 0.00 μB/f.u.
- SG: P2_1/m (11)
- Density of states at the Fermi level: 18.22 states/eV/cell
- Energy of formation from the pure elements: 0.169 eV/atom

Structure (POSCAR):
```
Dy2YEr2Th
1.0
6.606 0.000 0.000
0.000 6.638 0.000
-2.374 0.000 8.765
Dy Y Er Th
4 2 4 2
Direct
0.081 0.250 0.383
0.314 0.750 0.983
0.686 0.250 0.017
0.919 0.750 0.617
0.099 0.750 0.298
0.901 0.250 0.702
0.405 0.503 0.675
0.405 0.997 0.675
0.595 0.003 0.325
0.595 0.497 0.325
0.205 0.250 0.064
0.795 0.750 0.936
```

---

CaAl2Ga: optimized geometry, PBE.

Summary:
- M_tot: 0.00 μB/f.u.
- SG: Pnma (62)
- Density of states at the Fermi level: 6.66 states/eV/cell
- Energy of formation from the pure elements: -0.310 eV/atom

Structure (POSCAR):
```
CaAl2Ga
1.0
7.464 0.000 0.000
0.000 4.157 0.000
0.000 0.000 11.362
Ca Al Ga
4 8 4
Direct
0.137 0.250 0.137
0.363 0.750 0.637
0.637 0.250 0.363
0.863 0.750 0.863
0.026 0.250 0.658
0.159 0.250 0.442
0.341 0.750 0.942
0.474 0.750 0.158
0.526 0.250 0.842
0.659 0.250 0.058
0.841 0.750 0.558
0.974 0.750 0.342
0.179 0.250 0.857
0.321 0.750 0.357
0.679 0.250 0.643
0.821 0.750 0.143
```

---

PrGe2Pd3: optimized geometry, PBE.

Summary:
- M_tot: 0.00 μB/f.u.
- SG: C2/m (12)
- Density of states at the Fermi level: 9.16 states/eV/cell
- Energy of formation from the pure elements: -0.794 eV/atom

Structure (POSCAR):
```
PrGe2Pd3
1.0
8.427 -2.063 0.000
8.427 2.063 0.000
-3.225 0.000 9.620
Pr Ge Pd
3 6 9
Direct
0.000 0.000 0.000
0.154 0.154 0.696
0.846 0.846 0.304
0.199 0.199 0.131
0.363 0.363 0.548
0.464 0.464 0.221
0.536 0.536 0.779
0.637 0.637 0.452
0.801 0.801 0.869
0.043 0.043 0.335
0.218 0.218 0.393
0.321 0.321 0.036
0.375 0.375 0.799
0.500 0.500 0.500
0.625 0.625 0.201
0.679 0.679 0.964
0.782 0.782 0.607
0.957 0.957 0.665
```

---

Pa2GaPd: optimized geometry, PBE.

Summary:
- M_tot: 0.00 μB/f.u.
- SG: R-3m (166)
- Density of states at the Fermi level: 5.90 states/eV/cell
- Energy of formation from the pure elements: -0.042 eV/atom
- Energy relative to the lowest polymorph listed for this composition: 329 meV per atom

Structure (POSCAR):
```
Pa2GaPd
1.0
1.553 0.897 10.476
-1.553 0.897 10.476
0.000 -1.793 10.476
Pa Ga Pd
2 1 1
Direct
0.086 0.086 0.086
0.914 0.914 0.914
0.500 0.500 0.500
0.000 0.000 0.000
```

---

LaCd2Rh: optimized geometry, PBE.

Summary:
- M_tot: 0.00 μB/f.u.
- SG: Fm-3m (225)
- Density of states at the Fermi level: 5.20 states/eV/cell
- Energy of formation from the pure elements: -0.163 eV/atom

Structure (POSCAR):
```
LaCd2Rh
1.0
0.000 3.572 3.572
3.572 0.000 3.572
3.572 3.572 0.000
La Cd Rh
1 2 1
Direct
0.000 0.000 0.000
0.250 0.250 0.250
0.750 0.750 0.750
0.500 0.500 0.500
```

---

Sr2ZnSnRh: optimized geometry, PBE.

Summary:
- M_tot: 0.00 μB/f.u.
- SG: P4/mmm (123)
- Density of states at the Fermi level: 3.30 states/eV/cell
- Energy of formation from the pure elements: -0.265 eV/atom

Structure (POSCAR):
```
Sr2ZnSnRh
1.0
5.795 0.000 0.000
0.000 5.795 0.000
0.000 0.000 5.052
Sr Zn Sn Rh
2 1 1 1
Direct
0.000 0.500 0.000
0.500 0.000 0.000
0.000 0.000 0.500
0.500 0.500 0.500
0.500 0.500 0.000
```

---

Cs2TlIBr4: optimized geometry, PBE.

Summary:
- M_tot: 0.00 μB/f.u.
- SG: C2/c (15)
- Formation energy (no corrections): -1.080 eV per atom

Structure (POSCAR):
```
Cs2TlIBr4
1.0
6.637 -8.049 0.000
6.637 8.049 0.000
-6.178 0.000 7.472
Cs Tl I Br
4 2 2 8
Direct
0.000 0.000 0.000
0.000 0.000 0.500
0.000 0.500 0.000
0.500 0.000 0.500
0.500 0.500 0.000
0.500 0.500 0.500
0.000 0.500 0.500
0.500 0.000 0.000
0.220 0.661 0.473
0.226 0.291 0.996
0.291 0.226 0.496
0.339 0.780 0.027
0.661 0.220 0.973
0.709 0.774 0.504
0.774 0.709 0.004
0.780 0.339 0.527
```

---

La3GdP: optimized geometry, PBE.

Summary:
- M_tot: 8.80 μB/f.u.
- SG: Pm-3m (221)
- Density of states at the Fermi level: 11.20 states/eV/cell
- Energy of formation from the pure elements: -0.433 eV/atom

Structure (POSCAR):
```
La3GdP
1.0
5.698 0.000 0.000
0.000 5.698 0.000
0.000 0.000 5.698
La Gd P
3 1 1
Direct
0.000 0.000 0.500
0.000 0.500 0.000
0.500 0.000 0.000
0.500 0.500 0.500
0.000 0.000 0.000
```